(1)
PBE with a Hubbard U Sr2VCu2O6, relaxed; symmetry = No. 166; Fermi-level density of states = 0.63 states/eV per atom; uncorrected energy = -0.2263 Ha/atom; size of the total moment = 1.08 Bohr magnetons per cell
1.0
-0.128 -5.779 -0.601
4.689 -2.823 -1.955
3.181 -3.398 3.897
O Cu V Sr
6 2 1 2
Direct
0.773 0.218 0.237
0.773 0.773 0.237
0.227 0.782 0.763
0.218 0.773 0.237
0.782 0.227 0.763
0.227 0.227 0.763
0.415 0.415 0.754
0.585 0.585 0.246
0.000 0.000 0.000
0.783 0.783 0.652
0.217 0.217 0.348

(2)
PBE with a Hubbard U Sr4V3CuO12, relaxed; symmetry = No. 229; Fermi-level density of states = 0.39 states/eV per atom; uncorrected energy = -0.2530 Ha/atom; size of the total moment = 0.00 Bohr magnetons per cell
1.0
6.785 0.000 0.000
-2.262 6.397 0.000
-2.262 -3.198 5.540
V O Cu Sr
3 12 1 4
Direct
0.500 0.000 0.500
0.000 0.500 0.500
0.500 0.500 0.000
0.734 0.734 0.000
0.500 0.250 0.750
0.250 0.750 0.500
0.266 0.266 0.000
0.000 0.266 0.266
0.266 0.000 0.266
0.734 0.000 0.734
0.750 0.250 0.500
0.500 0.750 0.250
0.000 0.734 0.734
0.750 0.500 0.250
0.250 0.500 0.750
0.000 0.000 0.000
0.500 0.500 0.500
0.500 0.000 0.000
0.000 0.000 0.500
0.000 0.500 0.000

(3)
PBE with a Hubbard U SrV4Cu3O12, relaxed; symmetry = No. 204; Fermi-level density of states = 0.38 states/eV per atom; uncorrected energy = -0.2500 Ha/atom; size of the total moment = 0.97 Bohr magnetons per cell
1.0
-1.285 -5.980 1.975
0.660 0.050 -6.394
5.451 2.034 2.732
V Cu O Sr
4 3 12 1
Direct
0.000 0.000 0.500
0.000 0.500 0.000
0.500 0.500 0.500
0.500 0.000 0.000
0.500 0.000 0.500
0.500 0.500 0.000
0.000 0.500 0.500
0.302 0.185 0.487
0.185 0.487 0.302
0.185 0.882 0.698
0.698 0.185 0.882
0.513 0.698 0.815
0.815 0.118 0.302
0.882 0.698 0.185
0.487 0.302 0.185
0.815 0.513 0.698
0.302 0.815 0.118
0.118 0.302 0.815
0.698 0.815 0.513
0.000 0.000 0.000

(4)
PBE with a Hubbard U SrV2CuO7, relaxed; symmetry = No. 119; Fermi-level density of states = 0.16 states/eV per atom; uncorrected energy = -0.2499 Ha/atom; size of the total moment = 0.78 Bohr magnetons per cell
1.0
-2.208 -0.444 -3.022
-0.649 -3.575 0.999
-5.722 4.660 5.846
Sr O Cu V
1 7 1 2
Direct
0.500 0.500 0.000
0.214 0.214 0.429
0.786 0.786 0.571
0.391 0.891 0.781
0.897 0.397 0.795
0.109 0.609 0.219
0.000 0.000 0.000
0.603 0.103 0.205
0.250 0.750 0.500
0.114 0.114 0.228
0.886 0.886 0.772

(5)
PBE with a Hubbard U Sr2VCu2O7, relaxed; symmetry = No. 8; Fermi-level density of states = 0.37 states/eV per atom; uncorrected energy = -0.2234 Ha/atom; size of the total moment = 0.99 Bohr magnetons per cell
1.0
-5.008 -2.151 -11.853
8.964 -3.513 8.803
-0.472 -5.244 -0.026
Cu V O Sr
4 2 14 4
Direct
0.438 0.059 0.518
0.059 0.438 0.518
0.564 0.943 0.513
0.943 0.564 0.513
0.193 0.193 0.520
0.827 0.827 0.377
0.676 0.327 0.015
0.366 0.240 0.486
0.240 0.366 0.486
0.327 0.678 0.515
0.863 0.863 0.000
0.327 0.676 0.015
0.828 0.173 0.516
0.126 0.126 0.224
0.171 0.829 0.017
0.678 0.327 0.515
0.829 0.171 0.017
0.745 0.629 0.605
0.629 0.745 0.605
0.173 0.828 0.516
0.150 0.374 0.004
0.374 0.150 0.004
0.630 0.852 0.025
0.852 0.630 0.025

(6)
PBE with a Hubbard U Sr2CuWO6, relaxed; symmetry = No. 12; Fermi-level density of states = 0.05 states/eV per atom; uncorrected energy = -0.2435 Ha/atom; size of the total moment = 0.97 Bohr magnetons per cell
1.0
5.497 0.000 -0.280
0.000 5.480 0.000
-2.496 -2.740 4.521
W Sr O Cu
1 2 6 1
Direct
0.000 0.500 0.000
0.767 0.751 0.502
0.233 0.249 0.498
0.794 0.291 0.082
0.794 0.791 0.082
0.206 0.209 0.918
0.206 0.709 0.918
0.288 0.716 0.431
0.712 0.284 0.569
0.500 0.000 0.000

(7)
PBE with a Hubbard U SrCuWO5, relaxed; symmetry = No. 15; Fermi-level density of states = 0.26 states/eV per atom; uncorrected energy = -0.2446 Ha/atom; size of the total moment = 2.05 Bohr magnetons per cell
1.0
-0.017 4.310 -3.859
-4.441 -3.618 -0.812
-2.180 3.614 6.236
O Sr Cu W
10 2 2 2
Direct
0.732 0.649 0.426
0.351 0.268 0.074
0.734 0.119 0.416
0.266 0.881 0.584
0.941 0.059 0.750
0.649 0.732 0.926
0.119 0.734 0.916
0.268 0.351 0.574
0.881 0.266 0.084
0.059 0.941 0.250
0.328 0.672 0.250
0.672 0.328 0.750
0.323 0.677 0.750
0.677 0.323 0.250
0.000 0.000 0.500
0.000 0.000 0.000

(8)
PBE with a Hubbard U Sr8CuW3O18, relaxed; symmetry = No. 1; Fermi-level density of states = 0.10 states/eV per atom; uncorrected energy = -0.2493 Ha/atom; size of the total moment = 2.04 Bohr magnetons per cell
1.0
-2.182 -2.054 5.158
9.023 -5.081 1.809
1.991 15.294 3.480
W O Sr Cu
6 36 16 2
Direct
0.663 0.998 0.331
0.828 0.503 0.666
0.334 0.008 0.670
0.509 0.504 0.999
0.007 0.004 0.002
0.163 0.501 0.337
0.788 0.896 0.225
0.041 0.623 0.449
0.052 0.638 0.281
0.614 0.129 0.702
0.538 0.127 0.268
0.448 0.891 0.566
0.289 0.384 0.402
0.469 0.899 0.742
0.876 0.120 0.931
0.404 0.634 0.104
0.185 0.124 0.602
0.289 0.126 0.041
0.540 0.407 0.625
0.871 0.406 0.295
0.899 0.133 0.108
0.139 0.890 0.904
0.676 0.640 0.763
0.960 0.403 0.568
0.294 0.416 0.233
0.624 0.403 0.893
0.375 0.634 0.923
0.955 0.420 0.752
0.777 0.632 0.034
0.115 0.639 0.724
0.552 0.114 0.439
0.735 0.637 0.599
0.455 0.628 0.397
0.945 0.118 0.378
0.210 0.412 0.958
0.784 0.879 0.397
0.131 0.904 0.084
0.371 0.891 0.287
0.643 0.403 0.074
0.053 0.894 0.630
0.235 0.129 0.778
0.727 0.893 0.957
0.250 0.247 0.502
0.204 0.845 0.415
0.625 0.642 0.264
0.779 0.034 0.562
0.078 0.737 0.162
0.457 0.050 0.901
0.530 0.844 0.066
0.702 0.330 0.409
0.585 0.253 0.165
0.046 0.338 0.071
0.120 0.085 0.242
0.307 0.673 0.600
0.914 0.250 0.832
0.364 0.340 0.743
0.880 0.852 0.750
0.952 0.638 0.906
0.744 0.649 0.480
0.400 0.658 0.812

(9)
PBE with a Hubbard U Sr2Cu2WO7, relaxed; symmetry = No. 8; Fermi-level density of states = 0.30 states/eV per atom; uncorrected energy = -0.2195 Ha/atom; size of the total moment = 0.67 Bohr magnetons per cell
1.0
-12.742 0.175 4.327
12.801 -3.287 2.536
0.599 1.852 4.961
O W Cu Sr
14 2 4 4
Direct
0.344 0.692 0.980
0.816 0.816 0.895
0.341 0.696 0.480
0.696 0.341 0.480
0.843 0.194 0.479
0.733 0.866 0.417
0.196 0.842 0.979
0.194 0.843 0.479
0.386 0.386 0.965
0.866 0.733 0.417
0.321 0.190 0.514
0.190 0.321 0.514
0.842 0.196 0.979
0.692 0.344 0.980
0.185 0.185 0.467
0.769 0.769 0.567
0.077 0.461 0.477
0.577 0.960 0.483
0.461 0.077 0.477
0.960 0.577 0.483
0.651 0.888 0.989
0.149 0.385 0.972
0.888 0.651 0.989
0.385 0.149 0.972

(10)
PBE with a Hubbard U Sr4ZnCuW2O12, relaxed; symmetry = No. 83; Fermi-level density of states = 0.13 states/eV per atom; uncorrected energy = -0.2420 Ha/atom; size of the total moment = 1.01 Bohr magnetons per cell
1.0
-3.319 0.474 -4.546
-2.660 -4.768 1.445
-5.356 4.309 4.359
O Sr Cu Zn W
12 4 1 1 2
Direct
0.692 0.213 0.000
0.714 0.806 0.500
0.787 0.692 0.000
0.286 0.194 0.500
0.000 0.000 0.260
0.213 0.308 0.000
0.000 0.000 0.740
0.806 0.286 0.500
0.308 0.787 0.000
0.500 0.500 0.240
0.194 0.714 0.500
0.500 0.500 0.760
0.000 0.500 0.251
0.500 0.000 0.251
0.000 0.500 0.749
0.500 0.000 0.749
0.500 0.500 0.500
0.000 0.000 0.000
0.000 0.000 0.500
0.500 0.500 0.000